Record 1
# KNiBiF6

An optimized crystal structure of KNiBiF6 (PBE with a Hubbard U, the Alexandria database).

Summary:
size of the total moment	2.05	μB per formula unit
calculated total energy	-4.518	eV per atom

Structure (POSCAR):
```
KNiBiF6
1.0
-2.787 4.624 -2.155
-0.146 0.895 -5.743
-4.024 -2.564 -0.291
K Ni Bi F
1 1 1 6
Direct
0.000 0.000 0.909
0.667 0.667 0.527
0.333 0.333 0.420
0.935 0.346 0.309
0.420 0.016 0.739
0.565 0.420 0.739
0.015 0.565 0.739
0.346 0.719 0.309
0.719 0.934 0.309
```



Record 2
# K2Ni3BiF12

An optimized crystal structure of K2Ni3BiF12 (PBE with a Hubbard U, the Alexandria database).

Summary:
size of the total moment	4.96	μB per formula unit
calculated total energy	-4.294	eV per atom

Structure (POSCAR):
```
K2Ni3BiF12
1.0
7.275 -0.024 -0.017
3.572 6.337 -0.017
3.572 2.079 5.987
K Ni Bi F
2 3 1 12
Direct
0.618 0.618 0.618
0.382 0.382 0.382
0.500 0.000 0.000
0.000 0.500 0.000
0.000 0.000 0.500
0.000 0.000 0.000
0.289 0.289 0.900
0.886 0.886 0.385
0.385 0.886 0.886
0.900 0.289 0.289
0.886 0.385 0.886
0.289 0.900 0.289
0.711 0.711 0.100
0.114 0.114 0.615
0.615 0.114 0.114
0.100 0.711 0.711
0.114 0.615 0.114
0.711 0.100 0.711
```



Copy entry 2 word for word.
# K2Ni3BiF12

An optimized crystal structure of K2Ni3BiF12 (PBE with a Hubbard U, the Alexandria database).

Summary:
size of the total moment	4.96	μB per formula unit
calculated total energy	-4.294	eV per atom

Structure (POSCAR):
```
K2Ni3BiF12
1.0
7.275 -0.024 -0.017
3.572 6.337 -0.017
3.572 2.079 5.987
K Ni Bi F
2 3 1 12
Direct
0.618 0.618 0.618
0.382 0.382 0.382
0.500 0.000 0.000
0.000 0.500 0.000
0.000 0.000 0.500
0.000 0.000 0.000
0.289 0.289 0.900
0.886 0.886 0.385
0.385 0.886 0.886
0.900 0.289 0.289
0.886 0.385 0.886
0.289 0.900 0.289
0.711 0.711 0.100
0.114 0.114 0.615
0.615 0.114 0.114
0.100 0.711 0.711
0.114 0.615 0.114
0.711 0.100 0.711
```